(1)
The following is a DFT calculation (GGA-PBEsol) of crystalline Sc2ReBr at its relaxed geometry.

abc: 3.0304 3.0304 9.1564
angles: 90.00 90.00 90.00
With the nearest neighbours (Å) after each atom.
Sites, in units of the cell vectors:
Sc  0.5000  0.5000  0.2773  4 Br 2.72, 4 Sc 3.03
Re  0.5000  0.5000  0.7840  4 Sc 2.78, 4 Re 3.03
Br  0.0000  0.0000  0.4609  4 Sc 2.72, 4 Br 3.03
Sc  0.0000  0.0000  0.9779  4 Re 2.78, 4 Sc 3.03

Output
- N(E_F) (states/eV/atom) = 1.393
- raw formation energy (eV per atom) = 0.27
- SG = P4mm, No. 99



(2)
The following is a DFT calculation (GGA-PBEsol) of crystalline Zr2AlSe at its relaxed geometry.

abc: 3.8584 3.8584 5.4101
angles: 90.00 90.00 90.00
With the nearest neighbours (Å) after each atom.
Sites, in units of the cell vectors:
Zr  0.0000  0.0000  0.5000  2 Al 2.71, 4 Se 2.73
Al  0.0000  0.0000  0.0000  6 Zr 2.71-2.73
Se  0.5000  0.5000  0.5000  6 Zr 2.71-2.73
Zr  0.5000  0.5000  0.0000  2 Se 2.71, 4 Al 2.73

Output
- N(E_F) (states/eV/atom) = 0.508
- raw formation energy (eV per atom) = -0.69
- SG = P4/mmm, No. 123



(3)
The following is a DFT calculation (GGA-PBEsol) of crystalline Mg at its relaxed geometry.

abc: 3.0818 3.0818 3.0818
angles: 109.47 109.47 109.47
With the nearest neighbours (Å) after each atom.
Sites, in units of the cell vectors:
Mg  0.0000  0.0000  0.0000  8 Mg 3.08

Output
- raw total energy (eV per cell) = -1.69
- N(E_F) (states/eV/atom) = 0.351
- SG = Im-3m, No. 229



(4)
The following is a DFT calculation (GGA-PBEsol) of crystalline BaEr2F8 at its relaxed geometry.

abc: 4.2166 6.2160 6.2160
angles: 112.80 95.21 95.21
With the nearest neighbours (Å) after each atom.
Sites, in units of the cell vectors:
F  0.5618  0.3277  0.0466  2 Er 2.24-2.29
Er  0.5000  0.6760  0.3240  8 F 2.21-2.29
Er  0.5000  0.3240  0.6760  8 F 2.21-2.29
F  0.4382  0.9534  0.6723  2 Er 2.24-2.29
F  0.7752  0.6065  0.6065  2 Er 2.22
F  0.5618  0.0466  0.3277  2 Er 2.24-2.29
F  0.4382  0.6723  0.9534  2 Er 2.24-2.29
F  0.2248  0.3935  0.3935  2 Er 2.22
Ba  0.0000  0.0000  0.0000  12 F 2.71-2.90
F  0.0000  0.7387  0.2613  2 Er 2.21
F  0.0000  0.2613  0.7387  2 Er 2.21

Output
- N(E_F) (states/eV/atom) = 0.000
- raw formation energy (eV per atom) = -4.15
- SG = C2/m, No. 12



(5)
The following is a DFT calculation (GGA-PBEsol) of crystalline Y2MnCrCl at its relaxed geometry.

abc: 4.1710 5.2956 5.2956
angles: 90.00 90.00 90.00
With the nearest neighbours (Å) after each atom.
Sites, in units of the cell vectors:
Mn  0.5000  0.5000  0.5000  8 Y 3.37, 4 Cl 3.74
Y  0.0000  0.0000  0.5000  2 Cr 2.65
Cr  0.0000  0.0000  0.0000  2 Cl 2.09
Cl  0.5000  0.0000  0.0000  2 Cr 2.09
Y  0.0000  0.5000  0.0000  2 Cr 2.65

Output
- N(E_F) (states/eV/atom) = 1.098
- raw formation energy (eV per atom) = 0.61
- SG = P4/mmm, No. 123



(6)
The following is a DFT calculation (GGA-PBEsol) of crystalline TcPIr4 at its relaxed geometry.

abc: 5.0837 5.0837 5.0837
angles: 60.00 60.00 60.00
With the nearest neighbours (Å) after each atom.
Sites, in units of the cell vectors:
Ir  0.3748  0.8755  0.3748  6 Ir 2.54-2.55
Ir  0.3748  0.3748  0.8755  6 Ir 2.54-2.55
Ir  0.8755  0.3748  0.3748  6 Ir 2.54-2.55
P  0.7500  0.7500  0.7500  12 Ir 2.98, 4 Tc 3.11
Ir  0.3748  0.3748  0.3748  6 Ir 2.54-2.55
Tc  0.0000  0.0000  0.0000  12 Ir 2.98, 4 P 3.11

Output
- raw total energy (eV per cell) = -51.18
- N(E_F) (states/eV/atom) = 1.626
- SG = F-43m, No. 216



(7)
The following is a DFT calculation (GGA-PBEsol) of crystalline MgFePCl2 at its relaxed geometry.

abc: 4.4722 4.4722 4.8521
angles: 90.00 90.00 90.00
With the nearest neighbours (Å) after each atom.
Sites, in units of the cell vectors:
Fe  0.0000  0.0000  0.0000  4 Cl 2.24, 2 P 2.43
P  0.0000  0.0000  0.5000  2 Fe 2.43
Cl  0.0000  0.5000  0.0000  2 Fe 2.24
Cl  0.5000  0.0000  0.0000  2 Fe 2.24
Mg  0.5000  0.5000  0.5000  4 P 3.16, 8 Cl 3.30

Output
- N(E_F) (states/eV/atom) = 0.857
- raw formation energy (eV per atom) = -0.14
- SG = P4/mmm, No. 123



(8)
The following is a DFT calculation (GGA-PBEsol) of crystalline Ca3Os at its relaxed geometry.

abc: 5.0701 5.1613 5.0701
angles: 60.58 90.00 119.42
With the nearest neighbours (Å) after each atom.
Sites, in units of the cell vectors:
Ca  0.2500  0.5000  0.2500  4 Os 3.14, 4 Ca 3.14
Os  0.0000  0.0000  0.0000  8 Ca 3.14
Ca  0.7500  0.5000  0.7500  4 Ca 3.14, 4 Os 3.14
Ca  0.5000  0.0000  0.5000  8 Ca 3.14

Output
- raw total energy (eV per cell) = -16.87
- N(E_F) (states/eV/atom) = 0.200
- SG = I4/mmm, No. 139



(9)
The following is a DFT calculation (GGA-PBEsol) of crystalline CrSn3Hg at its relaxed geometry.

abc: 5.4354 5.4354 5.4354
angles: 90.00 90.00 90.00
With the nearest neighbours (Å) after each atom.
Sites, in units of the cell vectors:
Sn  0.5000  0.0000  0.0000  2 Hg 2.72
Sn  0.0000  0.0000  0.5000  2 Hg 2.72
Cr  0.5000  0.5000  0.5000  12 Sn 3.84
Sn  0.0000  0.5000  0.0000  2 Hg 2.72
Hg  0.0000  0.0000  0.0000  6 Sn 2.72

Output
- raw total energy (eV per cell) = -18.41
- N(E_F) (states/eV/atom) = 0.569
- SG = Pm-3m, No. 221



(10)
The following is a DFT calculation (GGA-PBEsol) of crystalline Ga2BiP2 at its relaxed geometry.

abc: 4.7648 5.4075 4.7648
angles: 63.86 90.00 116.14
With the nearest neighbours (Å) after each atom.
Sites, in units of the cell vectors:
P  0.7500  0.5000  0.7500  4 Ga 2.54
Ga  0.3552  0.7104  0.6448  1 Ga 2.45, 4 P 2.54
P  0.2500  0.5000  0.2500  4 Ga 2.54
Bi  0.0000  0.0000  0.0000  2 Ga 3.00, 8 P 3.19
Ga  0.6448  0.2896  0.3552  1 Ga 2.45, 4 P 2.54

Output
- raw total energy (eV per cell) = -21.86
- N(E_F) (states/eV/atom) = 0.465
- SG = I4/mmm, No. 139



(11)
The following is a DFT calculation (GGA-PBEsol) of crystalline Ti3PtC at its relaxed geometry.

abc: 5.8047 5.8047 5.8047
angles: 90.60 119.57 119.74
With the nearest neighbours (Å) after each atom.
Sites, in units of the cell vectors:
Pt  0.0079  0.7579  0.7500  5 Ti 2.50-2.64
Ti  0.5795  0.3295  0.7500  2 C 2.09
Ti  0.5000  0.7934  0.7934  2 C 2.09
C  0.5000  0.0000  0.5000  6 Ti 2.09
C  0.5000  0.5000  0.0000  6 Ti 2.09
Ti  0.5000  0.2066  0.2066  2 C 2.09
Ti  0.4205  0.6705  0.2500  2 C 2.09
Ti  0.0000  0.7934  0.2934  2 C 2.09
Pt  0.9921  0.2421  0.2500  5 Ti 2.50-2.64
Ti  0.0000  0.2066  0.7066  2 C 2.09

Output
- raw total energy (eV per cell) = -91.59
- N(E_F) (states/eV/atom) = 0.376
- SG = Imma, No. 74



(12)
The following is a DFT calculation (GGA-PBEsol) of crystalline TaMoW2 at its relaxed geometry.

abc: 3.1723 4.4900 5.2595
angles: 115.27 107.55 90.00
With the nearest neighbours (Å) after each atom.
Sites, in units of the cell vectors:
W  0.2494  0.7494  0.4988  2 Mo 2.72, 2 W 2.73, 4 Ta 2.75
W  0.9970  0.9970  0.9940  2 W 2.73, 4 Mo 2.75, 2 Ta 2.78
Mo  0.5026  0.5026  0.0052  6 W 2.72-2.75, 2 Ta 2.76
Ta  0.7510  0.2510  0.5021  6 W 2.75-2.78, 2 Mo 2.76

Output
- raw total energy (eV per cell) = -52.31
- N(E_F) (states/eV/atom) = 0.412
- SG = Imm2, No. 44



(13)
The following is a DFT calculation (GGA-PBEsol) of crystalline Ca2LaFe at its relaxed geometry.

abc: 3.5424 3.5424 9.2807
angles: 90.00 90.00 90.00
With the nearest neighbours (Å) after each atom.
Sites, in units of the cell vectors:
Ca  0.5000  0.5000  0.3185  4 Fe 3.12, 1 La 3.28
Fe  0.0000  0.0000  0.5183  4 La 2.88, 4 Ca 3.12
Ca  0.0000  0.0000  0.9917  8 Ca 3.54-3.93, 4 La 3.89
La  0.5000  0.5000  0.6715  4 Fe 2.88

Output
- raw total energy (eV per cell) = -17.55
- N(E_F) (states/eV/atom) = 1.378
- SG = P4mm, No. 99



(14)
The following is a DFT calculation (GGA-PBEsol) of crystalline CaSb2Pt at its relaxed geometry.

abc: 5.9097 6.4847 6.4847
angles: 78.02 62.89 62.89
With the nearest neighbours (Å) after each atom.
Sites, in units of the cell vectors:
Ca  0.5000  0.0000  0.0000  2 Pt 2.95
Sb  0.6880  0.9370  0.4370  2 Pt 2.65
Pt  0.0000  0.0000  0.0000  4 Sb 2.65, 2 Ca 2.95
Sb  0.0620  0.0630  0.5630  2 Pt 2.65
Sb  0.3750  0.5630  0.9370  2 Pt 2.65
Pt  0.7500  0.5000  0.5000  4 Sb 2.65, 2 Ca 2.95
Ca  0.2500  0.5000  0.5000  2 Pt 2.95
Sb  0.8750  0.4370  0.0630  2 Pt 2.65

Output
- N(E_F) (states/eV/atom) = 0.444
- raw formation energy (eV per atom) = -0.60
- SG = I-42d, No. 122



(15)
The following is a DFT calculation (GGA-PBEsol) of crystalline SmH10S3N3O11 at its relaxed geometry.

abc: 7.7991 9.0996 9.1175
angles: 119.11 95.38 89.79
With the nearest neighbours (Å) after each atom.
Sites, in units of the cell vectors:
N  0.6972  0.1426  0.2635  2 H 1.03-1.04
H  0.8788  0.0248  0.6813  1 N 1.04
O  0.3305  0.2951  0.4167  1 S 1.47
N  0.2192  0.9062  0.2481  2 H 1.04
H  0.6777  0.1028  0.6763  1 N 1.04
Sm  0.2248  0.3719  0.2097  8 O 2.36-2.41
O  0.1352  0.6065  0.1770  1 S 1.47
O  0.9591  0.1295  0.4345  1 S 1.46
H  0.6668  0.6936  0.1318  1 O 1.01
S  0.4082  0.3225  0.5813  3 O 1.46-1.47
H  0.7274  0.9828  0.8631  1 O 1.00
O  0.5140  0.1829  0.5609  1 S 1.46
O  0.1614  0.5961  0.4784  1 S 1.46
O  0.8648  0.3935  0.8230  1 S 1.47
S  0.1208  0.7572  0.6199  3 O 1.46
O  0.7019  0.9128  0.9168  2 H 1.00
O  0.6695  0.7049  0.5833  1 S 1.47
S  0.8792  0.2428  0.3801  3 O 1.46
H  0.3716  0.7747  0.7633  1 N 1.03
H  0.6252  0.1126  0.3360  1 N 1.04
H  0.2726  0.0172  0.1369  1 O 1.00
H  0.2212  0.4516  0.7699  1 N 1.04
O  0.2674  0.6594  0.9748  1 S 1.46
O  0.4973  0.4893  0.6835  1 S 1.47
H  0.2921  0.0132  0.9577  1 O 1.00
Sm  0.7752  0.6281  0.7903  8 O 2.36-2.41
O  0.4860  0.8171  0.4391  1 S 1.46
S  0.1450  0.7171  0.1020  3 O 1.46-1.47
H  0.4904  0.6682  0.0097  1 O 0.99
O  0.0409  0.8705  0.5655  1 S 1.46
O  0.7326  0.3406  0.0252  1 S 1.46
O  0.2981  0.0872  0.0832  2 H 1.00
H  0.3748  0.8874  0.6640  1 N 1.04
S  0.5918  0.6775  0.4187  3 O 1.46-1.47
H  0.3332  0.3064  0.8682  1 O 1.01
N  0.3028  0.8574  0.7365  2 H 1.03-1.04
O  0.5027  0.5107  0.3165  1 S 1.47
N  0.7473  0.6721  0.3053  2 H 1.04
O  0.9736  0.7452  0.0431  1 S 1.46
H  0.7788  0.5484  0.2301  1 N 1.04
O  0.8386  0.4039  0.5216  1 S 1.46
N  0.2527  0.3279  0.6947  2 H 1.04
H  0.1212  0.9752  0.3187  1 N 1.04
H  0.1460  0.2524  0.6188  1 N 1.04
S  0.8550  0.2829  0.8980  3 O 1.46-1.47
N  0.7808  0.0938  0.7519  2 H 1.04
O  0.0258  0.7316  0.7374  1 S 1.46
O  0.3821  0.3166  0.9792  2 H 0.99-1.01
O  0.9742  0.2684  0.2626  1 S 1.46
O  0.0264  0.2548  0.9569  1 S 1.46
H  0.7079  0.9868  0.0423  1 O 1.00
H  0.8540  0.7476  0.3812  1 N 1.04
H  0.6284  0.2253  0.2367  1 N 1.03
O  0.6179  0.6834  0.0208  2 H 0.99-1.01
H  0.5096  0.3318  0.9903  1 O 0.99
H  0.3223  0.8972  0.3237  1 N 1.04

Output
- raw total energy (eV per cell) = -336.61
- N(E_F) (states/eV/atom) = 0.000
- SG = P-1, No. 2



(16)
The following is a DFT calculation (GGA-PBEsol) of crystalline TaTcIr2 at its relaxed geometry.

abc: 2.7735 4.7450 4.7985
angles: 99.52 90.00 106.99
With the nearest neighbours (Å) after each atom.
Sites, in units of the cell vectors:
Tc  0.2549  0.5098  0.7804  7 Ir 2.64-2.88, 2 Tc 2.77, 3 Ta 2.82-2.86
Ir  0.7490  0.4981  0.2528  4 Tc 2.67-2.88, 3 Ta 2.71-2.72, 5 Ir 2.77-2.80
Ta  0.4983  0.9967  0.4867  7 Ir 2.71-2.80, 2 Ta 2.77, 3 Tc 2.82-2.86
Ir  0.9977  0.9954  0.9800  3 Tc 2.64-2.67, 4 Ta 2.74-2.80, 5 Ir 2.77-2.80

Output
- raw total energy (eV per cell) = -44.84
- N(E_F) (states/eV/atom) = 0.624
- SG = Cm, No. 8



(17)
The following is a DFT calculation (GGA-PBEsol) of crystalline SrAgO2 at its relaxed geometry.

abc: 3.4875 4.3627 7.7996
angles: 90.00 90.00 90.00
With the nearest neighbours (Å) after each atom.
Sites, in units of the cell vectors:
O  0.0000  0.5000  0.0000  2 Ag 2.18
Ag  0.0000  0.0000  0.5000  4 O 2.06-2.18
Sr  0.4779  0.5000  0.2500  6 O 2.46-2.67
O  0.1938  0.0000  0.7500  2 Ag 2.06
Sr  0.5221  0.5000  0.7500  6 O 2.46-2.67
O  0.8062  0.0000  0.2500  2 Ag 2.06
Ag  0.0000  0.0000  0.0000  4 O 2.06-2.18
O  0.0000  0.5000  0.5000  2 Ag 2.18

Output
- N(E_F) (states/eV/atom) = 0.228
- raw formation energy (eV per atom) = -1.51
- SG = Pmma, No. 51



(18)
The following is a DFT calculation (GGA-PBEsol) of crystalline ZrIrPb2 at its relaxed geometry.

abc: 3.2837 3.2837 9.2715
angles: 79.80 79.80 60.00
With the nearest neighbours (Å) after each atom.
Sites, in units of the cell vectors:
Ir  0.0000  0.0000  0.0000  6 Pb 2.79
Zr  0.5000  0.5000  0.5000  6 Pb 3.13, 6 Zr 3.28
Pb  0.7420  0.7420  0.7739  3 Ir 2.79, 3 Zr 3.13
Pb  0.2580  0.2580  0.2261  3 Ir 2.79, 3 Zr 3.13

Output
- raw total energy (eV per cell) = -25.77
- N(E_F) (states/eV/atom) = 1.023
- SG = R-3m, No. 166



(19)
The following is a DFT calculation (GGA-PBEsol) of crystalline NaOs2SCl at its relaxed geometry.

abc: 4.3050 4.3050 4.8435
angles: 90.00 90.00 90.00
With the nearest neighbours (Å) after each atom.
Sites, in units of the cell vectors:
Os  0.5000  0.0000  0.0000  2 Cl 2.15
S  0.5000  0.5000  0.5000  4 Na 3.04, 8 Os 3.24
Na  0.0000  0.0000  0.5000  2 Cl 2.42
Cl  0.0000  0.0000  0.0000  4 Os 2.15
Os  0.0000  0.5000  0.0000  2 Cl 2.15

Output
- N(E_F) (states/eV/atom) = 1.048
- raw formation energy (eV per atom) = 1.48
- SG = P4/mmm, No. 123



(20)
The following is a DFT calculation (GGA-PBEsol) of crystalline Ag2Pb at its relaxed geometry.

abc: 3.6124 3.6124 5.3176
angles: 109.86 109.86 90.00
With the nearest neighbours (Å) after each atom.
Sites, in units of the cell vectors:
Ag  0.6774  0.6774  0.3547  4 Ag 2.89, 5 Pb 3.01-3.04
Pb  0.0000  0.0000  0.0000  10 Ag 3.01-3.04
Ag  0.3226  0.3226  0.6453  4 Ag 2.89, 5 Pb 3.01-3.04

Output
- raw total energy (eV per cell) = -10.29
- N(E_F) (states/eV/atom) = 0.360
- SG = I4/mmm, No. 139